The following is a DFT calculation (PBE-GGA) of a relaxed structure of CePr5Dy4.

```
CePr5Dy4
1.0
9.0425 -1.7676 0.0000
9.0425 1.7676 0.0000
-3.1690 0.0000 10.6309
Ce Pr Dy
1 5 4
Direct
0.0000 0.0000 0.0000 Ce
0.0000 0.0000 0.5000 Pr
0.2951 0.2951 0.3978 Pr
0.3962 0.3962 0.7186 Pr
0.6038 0.6038 0.2814 Pr
0.7049 0.7049 0.6022 Pr
0.1951 0.1951 0.0796 Dy
0.4062 0.4062 0.1855 Dy
0.5938 0.5938 0.8145 Dy
0.8049 0.8049 0.9204 Dy
```

Properties
* energy of formation from the pure elements: 104 meV per atom
* total moment: 0.43 μB/f.u.
* space-group type: C2/m

The following is a DFT calculation (PBE-GGA) of a relaxed structure of NaNb2SiIr.

```
NaNb2SiIr
1.0
4.5671 0.0000 0.0000
0.0000 4.5671 0.0000
0.0000 0.0000 4.5261
Na Nb Si Ir
1 2 1 1
Direct
0.0000 0.0000 0.0000 Na
0.0000 0.5000 0.0000 Nb
0.5000 0.0000 0.0000 Nb
0.5000 0.5000 0.5000 Si
0.0000 0.0000 0.5000 Ir
```

Properties
* total moment: 0.00 μB/f.u.
* formation energy without anion corrections: 2.013 eV/atom
* space-group type: P4/mmm

The following is a DFT calculation (PBE-GGA) of a relaxed structure of Pm3PrIr.

```
Pm3PrIr
1.0
2.5024 -6.2800 0.0000
2.5024 6.2800 0.0000
0.0000 0.0000 10.0221
Pm Pr Ir
6 2 2
Direct
0.1329 0.8671 0.7500 Pm
0.3661 0.6339 0.0001 Pm
0.3661 0.6339 0.4999 Pm
0.6339 0.3661 0.9999 Pm
0.6339 0.3661 0.5001 Pm
0.8671 0.1329 0.2500 Pm
0.1381 0.8619 0.2500 Pr
0.8619 0.1381 0.7500 Pr
0.4982 0.5018 0.2500 Ir
0.5018 0.4982 0.7500 Ir
```

Properties
* energy of formation from the pure elements: -254 meV per atom
* total moment: 0.00 μB/f.u.
* space-group type: Cmcm

The following is a DFT calculation (PBE-GGA) of a relaxed structure of TbErPa2Sb4.

```
TbErPa2Sb4
1.0
7.5556 0.0000 0.0000
0.0000 4.3650 0.0000
-2.5229 0.0000 7.1836
Tb Er Pa Sb
1 1 2 4
Direct
0.0000 0.0000 0.0000 Tb
0.5000 0.5000 0.0000 Er
0.0000 0.5000 0.5000 Pa
0.5000 0.0000 0.5000 Pa
0.2510 0.5000 0.2482 Sb
0.2526 0.0000 0.7530 Sb
0.7474 0.0000 0.2470 Sb
0.7490 0.5000 0.7518 Sb
```

Properties
* total moment: 2.04 μB/f.u.
* formation energy without anion corrections: -0.763 eV/atom
* space-group type: P2/m

The following is a DFT calculation (PBE-GGA) of a relaxed structure of BPbN3.

```
BPbN3
1.0
4.3811 0.0000 0.0000
0.0000 4.3811 0.0000
0.0000 0.0000 4.3811
B Pb N
1 1 3
Direct
0.0000 0.0000 0.0000 B
0.5000 0.5000 0.5000 Pb
0.0000 0.5000 0.5000 N
0.5000 0.0000 0.5000 N
0.5000 0.5000 0.0000 N
```

Properties
* total moment: 4.03 μB/f.u.
* formation energy without anion corrections: 3.161 eV/atom
* space-group type: Pm-3m

The following is a DFT calculation (PBE-GGA) of a relaxed structure of Fe3Au.

```
Fe3Au
1.0
4.2730 2.4670 0.8672
-4.2730 2.4670 0.8672
0.0000 -4.9340 0.8672
Fe Au
3 1
Direct
0.0000 0.5000 0.5000 Fe
0.5000 0.0000 0.5000 Fe
0.5000 0.5000 0.0000 Fe
0.0000 0.0000 0.0000 Au
```

Properties
* energy of formation from the pure elements: 218 meV per atom
* total moment: 8.21 μB/f.u.
* space-group type: R-3m

The following is a DFT calculation (PBE-GGA) of a relaxed structure of Tb2PrHo2.

```
Tb2PrHo2
1.0
9.4067 0.0000 0.0000
0.0000 9.4067 0.0000
0.0000 0.0000 3.7341
Tb Pr Ho
4 2 4
Direct
0.1255 0.3745 0.0000 Tb
0.3745 0.8745 0.0000 Tb
0.6255 0.1255 0.0000 Tb
0.8745 0.6255 0.0000 Tb
0.0000 0.0000 0.0000 Pr
0.5000 0.5000 0.0000 Pr
0.1711 0.6711 0.5000 Ho
0.3289 0.1711 0.5000 Ho
0.6711 0.8289 0.5000 Ho
0.8289 0.3289 0.5000 Ho
```

Properties
* energy of formation from the pure elements: 82 meV per atom
* total moment: 0.00 μB/f.u.
* space-group type: P4/mbm

The following is a DFT calculation (PBE-GGA) of a relaxed structure of K2TcPt.

```
K2TcPt
1.0
1.9570 -1.9698 0.0000
1.9570 1.9698 0.0000
0.0000 0.0000 11.0665
K Tc Pt
2 1 1
Direct
0.0000 0.0000 0.2384 K
0.0000 0.0000 0.7616 K
0.5000 0.5000 0.5000 Tc
0.5000 0.5000 0.0000 Pt
```

Properties
* energy of formation from the pure elements: 840 meV per atom
* total moment: 0.00 μB/f.u.
* space-group type: Cmmm

The following is a DFT calculation (PBE-GGA) of a relaxed structure of YSnBO2.

```
YSnBO2
1.0
4.1172 0.0000 0.0000
0.0000 4.1172 0.0000
0.0000 0.0000 4.5766
Y Sn B O
1 1 1 2
Direct
0.0000 0.0000 0.0000 Y
0.5000 0.5000 0.0000 Sn
0.0000 0.0000 0.5000 B
0.0000 0.5000 0.5000 O
0.5000 0.0000 0.5000 O
```

Properties
* total moment: 0.00 μB/f.u.
* formation energy without anion corrections: 0.288 eV/atom
* space-group type: P4/mmm

The following is a DFT calculation (PBE-GGA) of a relaxed structure of BeFe2Ag.

```
BeFe2Ag
1.0
2.5014 -3.8662 0.0000
2.5014 3.8662 0.0000
0.0000 0.0000 2.6337
Be Fe Ag
1 2 1
Direct
0.0000 0.0000 0.0000 Be
0.0000 0.5000 0.5000 Fe
0.5000 0.0000 0.5000 Fe
0.5000 0.5000 0.0000 Ag
```

Properties
* energy of formation from the pure elements: 337 meV per atom
* total moment: 4.96 μB/f.u.
* space-group type: Cmmm

The following is a DFT calculation (PBE-GGA) of a relaxed structure of BaFeSe3.

```
BaFeSe3
1.0
4.9055 0.0000 0.0000
0.0000 4.9055 0.0000
0.0000 0.0000 4.9055
Ba Fe Se
1 1 3
Direct
0.0000 0.0000 0.0000 Ba
0.5000 0.5000 0.5000 Fe
0.0000 0.5000 0.5000 Se
0.5000 0.0000 0.5000 Se
0.5000 0.5000 0.0000 Se
```

Properties
* total moment: 0.00 μB/f.u.
* formation energy without anion corrections: -0.616 eV/atom
* space-group type: Pm-3m

The following is a DFT calculation (PBE-GGA) of a relaxed structure of LaW.

```
LaW
1.0
0.0000 3.5354 3.5354
3.5354 0.0000 3.5354
3.5354 3.5354 0.0000
La W
2 2
Direct
0.1250 0.1250 0.1250 La
0.8750 0.8750 0.8750 La
0.3750 0.3750 0.3750 W
0.6250 0.6250 0.6250 W
```

Properties
* energy of formation from the pure elements: 804 meV per atom
* total moment: 0.00 μB/f.u.
* space-group type: Fd-3m